# 1
TbY2Ge3Pt4: relaxed, PBE-GGA.

Cell lengths 4.2163, 4.2163, 11.3971 Å; angles 90.00, 90.00, 90.00 degrees
With the nearest neighbours (Å) after each atom.
Positions (direct):
Tb 0.0000 0.0000 0.0000  4 Pt 2.79, 4 Ge 2.98
Y 0.0000 0.5000 0.7191  4 Ge 3.16, 8 Pt 3.27-3.29
Y 0.5000 0.0000 0.2809  4 Ge 3.16, 8 Pt 3.27-3.29
Ge 0.0000 0.5000 0.3734  5 Pt 2.43-2.55
Ge 0.5000 0.0000 0.6266  5 Pt 2.43-2.55
Ge 0.5000 0.5000 0.0000  4 Pt 2.79, 4 Tb 2.98
Pt 0.0000 0.0000 0.5000  4 Ge 2.55
Pt 0.0000 0.5000 0.1599  1 Ge 2.43
Pt 0.5000 0.0000 0.8401  1 Ge 2.43
Pt 0.5000 0.5000 0.5000  4 Ge 2.55

Computed properties:
Raw total energy in eV for the cell shown: -64.96
Volume in A^3/atom: 20.261
Size of the total moment in μB per atom: 0.000

=====

# 2
Tb4SmZn: relaxed, PBE-GGA.

Cell lengths 8.1148, 8.1148, 6.2458 Å; angles 100.18, 100.18, 113.74 degrees
With the nearest neighbours (Å) after each atom.
Positions (direct):
Tb 0.0774 0.7145 0.9493  2 Zn 3.04-3.06, 1 Tb 3.33
Tb 0.1649 0.3863 0.6272  2 Zn 3.17, 2 Tb 3.33-3.43, 2 Sm 3.40-3.55
Tb 0.2855 0.9226 0.5507  2 Zn 3.04-3.06, 1 Tb 3.33
Tb 0.3863 0.1649 0.1272  2 Zn 3.17, 2 Tb 3.33-3.43, 2 Sm 3.40-3.55
Tb 0.6137 0.8351 0.8728  2 Zn 3.17, 2 Tb 3.33-3.43, 2 Sm 3.40-3.55
Tb 0.7145 0.0774 0.4493  2 Zn 3.04-3.06, 1 Tb 3.33
Tb 0.8351 0.6137 0.3728  2 Zn 3.17, 2 Tb 3.33-3.43, 2 Sm 3.40-3.55
Tb 0.9226 0.2855 0.0507  2 Zn 3.04-3.06, 1 Tb 3.33
Sm 0.4029 0.5971 0.2500  10 Tb 3.40-3.76
Sm 0.5971 0.4029 0.7500  10 Tb 3.40-3.76
Zn 0.9999 0.0001 0.2500  8 Tb 3.04-3.17, 2 Zn 3.12
Zn 0.0001 0.9999 0.7500  8 Tb 3.04-3.17, 2 Zn 3.12

Computed properties:
Excess energy over the best structure of this formula in the dataset in meV/atom: 98.2
Raw total energy in eV for the cell shown: -49.05
Volume in A^3/atom: 29.689
Size of the total moment in μB per atom: 0.000

=====

# 3
PmAl4CuAu2: relaxed, PBE-GGA.

Cell lengths 9.2070, 9.2070, 9.2070 Å; angles 27.33, 27.33, 27.33 degrees
With the nearest neighbours (Å) after each atom.
Positions (direct):
Pm 0.0000 0.0000 0.0000  8 Al 3.11-3.48
Al 0.1310 0.1310 0.1310  3 Cu 2.68, 4 Au 2.69-2.87, 3 Al 3.00
Al 0.4024 0.4024 0.4024  1 Cu 2.59, 3 Au 2.60
Al 0.5976 0.5976 0.5976  1 Cu 2.59, 3 Au 2.60
Al 0.8690 0.8690 0.8690  3 Cu 2.68, 4 Au 2.69-2.87, 3 Al 3.00
Cu 0.5000 0.5000 0.5000  8 Al 2.59-2.68
Au 0.2388 0.2388 0.2388  7 Al 2.60-2.87
Au 0.7612 0.7612 0.7612  7 Al 2.60-2.87

Computed properties:
Raw total energy in eV for the cell shown: -33.78
Volume in A^3/atom: 18.146
Size of the total moment in μB per atom: 0.000

=====

# 4
MgSi2Os: relaxed, PBE-GGA.

Cell lengths 5.3263, 5.3263, 5.3263 Å; angles 147.33, 133.12, 58.32 degrees
With the nearest neighbours (Å) after each atom.
Positions (direct):
Mg 0.0000 0.0000 0.0000  6 Si 2.60-2.88
Si 0.4823 0.4823 0.0000  2 Os 2.45, 2 Si 2.59, 4 Mg 2.60
Si 0.7100 0.2100 0.5000  2 Si 2.59, 4 Os 2.66, 2 Mg 2.88
Os 0.2733 0.7733 0.5000  6 Si 2.45-2.66

Computed properties:
Raw total energy in eV for the cell shown: -23.23
Volume in A^3/atom: 14.766
Formation energy (no corrections) in eV per atom: 0.110
Size of the total moment in μB per atom: 0.000

=====

# 5
NaCdAs: relaxed, PBE-GGA.

Cell lengths 7.6061, 7.6061, 4.5110 Å; angles 90.00, 90.00, 147.06 degrees
With the nearest neighbours (Å) after each atom.
Positions (direct):
Na 0.0780 0.9220 0.7500  4 As 3.20, 2 Na 3.20, 4 Cd 3.29-3.40
Na 0.9220 0.0780 0.2500  4 As 3.20, 2 Na 3.20, 4 Cd 3.29-3.40
Cd 0.2520 0.7480 0.2500  4 As 2.83-2.87, 4 Cd 3.12
Cd 0.7480 0.2520 0.7500  4 As 2.83-2.87, 4 Cd 3.12
As 0.3733 0.6267 0.7500  4 Cd 2.83-2.87
As 0.6267 0.3733 0.2500  4 Cd 2.83-2.87

Computed properties:
Raw total energy in eV for the cell shown: -15.53
Volume in A^3/atom: 23.651
Size of the total moment in μB per atom: 0.000

=====

# 6
EuPu3Co: relaxed, PBE-GGA.

Cell lengths 5.2596, 5.2596, 5.2596 Å; angles 90.00, 90.00, 90.00 degrees
With the nearest neighbours (Å) after each atom.
Positions (direct):
Eu 0.0000 0.0000 0.0000  12 Pu 3.72
Pu 0.0000 0.5000 0.5000  2 Co 2.63
Pu 0.5000 0.0000 0.5000  2 Co 2.63
Pu 0.5000 0.5000 0.0000  2 Co 2.63
Co 0.5000 0.5000 0.5000  6 Pu 2.63

Computed properties:
Raw total energy in eV for the cell shown: -59.17
Volume in A^3/atom: 29.100
Size of the total moment in μB per atom: 4.873